# LaInBr2

A relaxed LaInBr2 crystal (PBE, Alexandria).

The structure in POSCAR format:
```
LaInBr2
1.0
4.941 0.000 0.000
0.000 4.941 0.000
0.000 0.000 4.677
La In Br
1 1 2
Direct
0.000 0.000 0.000
0.500 0.500 0.000
0.000 0.500 0.500
0.500 0.000 0.500
```

Computed properties:
Fermi-level density of states: 0.647 states/eV/atom
Excess energy over the best structure of this formula in the dataset: 184 meV per atom
Total magnetic moment: 0.00 μB/f.u.
Crystal system: tetragonal
Volume: 114.2 Å³/cell